# TaSi

A PBEsol-optimized structure of TaSi (SCAN, Alexandria via LeMat-Bulk).

**Calculated total energy**: -38.708 eV per atom
**Energy relative to the elements, uncorrected**: -0.82 eV per formula unit

Unit cell a=4.994 b=4.994 c=4.994 alpha=90.00 beta=90.00 gamma=90.00
Fractional coordinates of all 8 atoms:
Si  0.097  0.597  0.903
Si  0.403  0.403  0.403
Si  0.903  0.097  0.597
Si  0.597  0.903  0.097
Ta  0.390  0.890  0.610
Ta  0.110  0.110  0.110
Ta  0.610  0.390  0.890
Ta  0.890  0.610  0.390

# CoOs5

A PBEsol-optimized structure of CoOs5 (SCAN, Alexandria via LeMat-Bulk).

**Calculated total energy**: -62.699 eV per atom
**Calculated formation energy**: 0.51 eV/f.u.
**Energy above the lowest structure with this stoichiometry**: 0.000 eV/atom

Unit cell a=2.707 b=4.257 c=7.104 alpha=90.00 beta=100.98 gamma=90.00
Each line ends with the local moment (μB).
Fractional coordinates of all 6 atoms:
Co  0.001  0.000  0.002  1.35
Os  0.222  0.500  0.444  0.00
Os  0.335  0.000  0.669  -0.08
Os  0.553  0.500  0.106  -0.02
Os  0.664  0.000  0.328  -0.01
Os  0.892  0.500  0.784  -0.04

# Zr3Hg2

A PBEsol-optimized structure of Zr3Hg2 (SCAN, Alexandria via LeMat-Bulk).

**Calculated total energy**: -45.939 eV per atom
**Calculated formation energy**: -1.27 eV/f.u.

Unit cell a=5.721 b=5.894 c=7.729 alpha=100.35 beta=111.72 gamma=60.96
Fractional coordinates of all 10 atoms:
Hg  0.207  0.440  0.100
Hg  0.547  0.560  0.900
Hg  0.357  0.940  0.400
Hg  0.897  0.060  0.600
Zr  0.741  0.892  0.200
Zr  0.433  0.108  0.800
Zr  0.791  0.392  0.300
Zr  0.882  0.608  0.700
Zr  0.072  0.000  0.000
Zr  0.322  0.500  0.500

# MnAlS2

A PBEsol-optimized structure of MnAlS2 (SCAN, Alexandria via LeMat-Bulk).

**Calculated total energy**: -12.162 eV per atom
**Energy relative to the elements, uncorrected**: -3.38 eV per formula unit

Unit cell a=3.456 b=3.456 c=7.422 alpha=76.54 beta=76.54 gamma=60.00
Each line ends with the local moment (μB).
Fractional coordinates of all 4 atoms:
S  0.895  0.895  0.316  -0.02
S  0.105  0.105  0.684  -0.02
Mn  0.000  0.000  0.000  4.00
Al  0.500  0.500  0.500  0.01

# Nd2AlCo2

A PBEsol-optimized structure of Nd2AlCo2 (SCAN, Alexandria via LeMat-Bulk).

**Calculated total energy**: -26.064 eV per atom
**Calculated formation energy**: -0.80 eV/f.u.

Unit cell a=4.013 b=5.508 c=5.508 alpha=59.27 beta=68.64 gamma=68.64
Each line ends with the local moment (μB).
Fractional coordinates of all 5 atoms:
Nd  0.203  0.297  0.297  -0.13
Nd  0.797  0.703  0.703  -0.13
Co  0.500  0.281  0.719  0.76
Co  0.500  0.719  0.281  0.76
Al  0.000  0.000  0.000  -0.01

# OsPbAu

A PBEsol-optimized structure of OsPbAu (SCAN, Alexandria via LeMat-Bulk).

**Calculated total energy**: -71.270 eV per atom
**Calculated formation energy**: 3.01 eV/f.u.

Unit cell a=3.246 b=3.246 c=5.730 alpha=106.45 beta=106.45 gamma=90.00
Fractional coordinates of all 3 atoms:
Au  0.013  0.013  0.026
Os  0.663  0.663  0.327
Pb  0.324  0.324  0.648

# KZr2Bi2

A PBEsol-optimized structure of KZr2Bi2 (SCAN, Alexandria via LeMat-Bulk).

**Calculated total energy**: -45.669 eV per atom
**Calculated formation energy**: -1.46 eV/f.u.

Unit cell a=4.666 b=4.666 c=7.881 alpha=107.22 beta=107.22 gamma=90.00
Fractional coordinates of all 5 atoms:
K  0.000  0.000  0.000
Bi  0.376  0.376  0.753
Bi  0.624  0.624  0.247
Zr  0.250  0.750  0.500
Zr  0.750  0.250  0.500

# CaHg2MoOs

A PBEsol-optimized structure of CaHg2MoOs (SCAN, Alexandria via LeMat-Bulk).

**Calculated total energy**: -48.033 eV per atom
**Calculated formation energy**: 12.60 eV/f.u.

Unit cell a=4.593 b=5.050 c=5.050 alpha=90.00 beta=90.00 gamma=90.00
Each line ends with the local moment (μB).
Fractional coordinates of all 5 atoms:
Mo  0.500  0.000  0.000  2.05
Ca  0.000  0.000  0.000  0.05
Os  0.500  0.500  0.500  2.10
Hg  0.000  0.000  0.500  0.01
Hg  0.000  0.500  0.000  0.01

Question: The lowest calculated total energy belongs to which entry?
Answer: OsPbAu